Record 1
# PBE Zr3CN, optimized geometry
data_Zr3CN
_space_group_name_H-M_alt 'C m c m'
_space_group_IT_number 63
_space_group_name_Hall '-C 2c 2'
_cell_length_a 3.2298
_cell_length_b 10.6882
_cell_length_c 8.5524
_cell_angle_alpha 90.00
_cell_angle_beta 90.00
_cell_angle_gamma 90.00
loop_
_atom_site_label
_atom_site_type_symbol
_atom_site_fract_x
_atom_site_fract_y
_atom_site_fract_z
_atom_site_occupancy
Zr1 Zr 0.0000 0.0902 0.2500 1
Zr2 Zr 0.0000 0.3645 0.0773 1
C1 C 0.0000 0.0000 0.0000 1
N1 N 0.0000 0.2632 0.7500 1
# - Crystal system: orthorhombic
# - Calculated total energy: -188.20 eV per cell

---

Record 2
# PBE Cs2ZrBe3F12, optimized geometry
data_Cs2ZrBe3F12
_space_group_name_H-M_alt 'R -3 m'
_space_group_IT_number 166
_space_group_name_Hall '-R 3 2"'
_cell_length_a 6.3933
_cell_length_b 6.3933
_cell_length_c 18.4497
_cell_angle_alpha 90.00
_cell_angle_beta 90.00
_cell_angle_gamma 120.00
loop_
_atom_site_label
_atom_site_type_symbol
_atom_site_fract_x
_atom_site_fract_y
_atom_site_fract_z
_atom_site_occupancy
Cs1 Cs 0.0000 0.0000 0.1033 1
Zr1 Zr 0.0000 0.0000 0.5000 1
Be1 Be 0.0000 0.5000 0.0000 1
F1 F 0.0248 0.5124 0.1073 1
F2 F 0.0844 0.5422 0.3371 1
# - Crystal system: trigonal
# - Calculated total energy: -299.65 eV per cell

---

Record 3
# PBE ScNbN2O, optimized geometry
data_ScNbN2O
_space_group_name_H-M_alt 'I m a 2'
_space_group_IT_number 46
_cell_length_a 7.7712
_cell_length_b 5.3886
_cell_length_c 5.5832
_cell_angle_alpha 90.00
_cell_angle_beta 90.00
_cell_angle_gamma 90.00
loop_
_space_group_symop_operation_xyz
'x,y,z'
'-x,-y,z'
'-x+1/2,y,z'
'x+1/2,-y,z'
'x+1/2,y+1/2,z+1/2'
'-x+1/2,-y+1/2,z+1/2'
'-x,y+1/2,z+1/2'
'x,-y+1/2,z+1/2'
loop_
_atom_site_label
_atom_site_type_symbol
_atom_site_fract_x
_atom_site_fract_y
_atom_site_fract_z
_atom_site_occupancy
Sc1 Sc 0.2500 0.0469 0.0000 1
Nb1 Nb 0.0000 0.0000 0.4690 1
N1 N 0.0818 0.2389 0.7478 1
O1 O 0.2500 0.6563 0.9603 1
# - Crystal system: orthorhombic
# - Calculated total energy: -184.82 eV per cell

---

Record 4
# PBE DyHo2In3Pt2, optimized geometry
data_DyHo2In3Pt2
_space_group_name_H-M_alt 'A m m 2'
_space_group_IT_number 38
_cell_length_a 3.6067
_cell_length_b 13.3606
_cell_length_c 7.7115
_cell_angle_alpha 90.00
_cell_angle_beta 90.00
_cell_angle_gamma 90.00
loop_
_space_group_symop_operation_xyz
'x,y,z'
'-x,-y,z'
'-x,y,z'
'x,-y,z'
'x,y+1/2,z+1/2'
'-x,-y+1/2,z+1/2'
'-x,y+1/2,z+1/2'
'x,-y+1/2,z+1/2'
loop_
_atom_site_label
_atom_site_type_symbol
_atom_site_fract_x
_atom_site_fract_y
_atom_site_fract_z
_atom_site_occupancy
Dy1 Dy 0.0000 0.0000 0.0000 1
Ho1 Ho 0.0000 0.2106 0.3682 1
In1 In 0.5000 0.0000 0.3484 1
In2 In 0.5000 0.1152 0.6941 1
Pt1 Pt 0.5000 0.1668 0.0789 1
# - Crystal system: orthorhombic
# - Calculated total energy: -82.37 eV per cell

---

Record 5
# PBE Pm2BiH, optimized geometry
data_Pm2BiH
_space_group_name_H-M_alt 'P 4/m m m'
_space_group_IT_number 123
_space_group_name_Hall '-P 4 2'
_cell_length_a 4.3507
_cell_length_b 4.3507
_cell_length_c 6.0599
_cell_angle_alpha 90.00
_cell_angle_beta 90.00
_cell_angle_gamma 90.00
loop_
_atom_site_label
_atom_site_type_symbol
_atom_site_fract_x
_atom_site_fract_y
_atom_site_fract_z
_atom_site_occupancy
Pm1 Pm 0.0000 0.0000 0.0000 1
Pm2 Pm 0.5000 0.5000 0.5000 1
Bi1 Bi 0.0000 0.0000 0.5000 1
H1 H 0.5000 0.5000 0.0000 1
# - Crystal system: tetragonal
# - Calculated total energy: -17.90 eV per cell

---

Record 6
# PBE TaAlZn, optimized geometry
data_TaAlZn
_space_group_name_H-M_alt 'F -4 3 m'
_space_group_IT_number 216
_space_group_name_Hall 'F -4 2 3'
_cell_length_a 6.2033
_cell_length_b 6.2033
_cell_length_c 6.2033
_cell_angle_alpha 90.00
_cell_angle_beta 90.00
_cell_angle_gamma 90.00
loop_
_atom_site_label
_atom_site_type_symbol
_atom_site_fract_x
_atom_site_fract_y
_atom_site_fract_z
_atom_site_occupancy
Ta1 Ta 0.0000 0.0000 0.0000 1
Al1 Al 0.2500 0.2500 0.7500 1
Zn1 Zn 0.2500 0.2500 0.2500 1
# - Crystal system: cubic
# - Calculated total energy: -59.41 eV per cell

---

Record 7
# PBE Rb2US3, optimized geometry
data_Rb2US3
_space_group_name_H-M_alt 'C m m m'
_space_group_IT_number 65
_space_group_name_Hall '-C 2 2'
_cell_length_a 4.1501
_cell_length_b 18.1395
_cell_length_c 5.8100
_cell_angle_alpha 90.00
_cell_angle_beta 90.00
_cell_angle_gamma 90.00
loop_
_atom_site_label
_atom_site_type_symbol
_atom_site_fract_x
_atom_site_fract_y
_atom_site_fract_z
_atom_site_occupancy
Rb1 Rb 0.0000 0.1404 0.0000 1
U1 U 0.0000 0.5000 0.5000 1
S1 S 0.0000 0.0957 0.5000 1
S2 S 0.0000 0.5000 0.0000 1
# - Crystal system: orthorhombic
# - Calculated total energy: -65.23 eV per cell

---

Record 8
# PBE Cs2GdTmO4, optimized geometry
data_Cs2GdTmO4
_space_group_name_H-M_alt 'P -3 m 1'
_space_group_IT_number 164
_space_group_name_Hall '-P 3 2"'
_cell_length_a 3.5220
_cell_length_b 3.5220
_cell_length_c 13.5589
_cell_angle_alpha 90.00
_cell_angle_beta 90.00
_cell_angle_gamma 120.00
loop_
_atom_site_label
_atom_site_type_symbol
_atom_site_fract_x
_atom_site_fract_y
_atom_site_fract_z
_atom_site_occupancy
Cs1 Cs 0.3333 0.6667 0.2495 1
Gd1 Gd 0.0000 0.0000 0.5000 1
Tm1 Tm 0.0000 0.0000 0.0000 1
O1 O 0.3333 0.6667 0.5858 1
O2 O 0.3333 0.6667 0.9196 1
# - Crystal system: trigonal
# - Calculated total energy: -51.65 eV per cell

---

Record 9
# PBE GdYAu, optimized geometry
data_GdYAu
_space_group_name_H-M_alt 'P n m a'
_space_group_IT_number 62
_cell_length_a 7.1211
_cell_length_b 4.9704
_cell_length_c 8.9922
_cell_angle_alpha 90.00
_cell_angle_beta 90.00
_cell_angle_gamma 90.00
loop_
_space_group_symop_operation_xyz
'x,y,z'
'-x,-y,-z'
'-x+1/2,-y,z+1/2'
'x+1/2,y,-z+1/2'
'x+1/2,-y+1/2,-z+1/2'
'-x+1/2,y+1/2,z+1/2'
'-x,y+1/2,-z'
'x,-y+1/2,z'
loop_
_atom_site_label
_atom_site_type_symbol
_atom_site_fract_x
_atom_site_fract_y
_atom_site_fract_z
_atom_site_occupancy
Gd1 Gd 0.1507 0.2500 0.0815 1
Y1 Y 0.0123 0.2500 0.6766 1
Au1 Au 0.2414 0.2500 0.4005 1
# - Energy of formation from the pure elements: -0.631 eV/atom
# - Crystal system: orthorhombic
# - Calculated total energy: -65.12 eV per cell

---

Record 10
# PBE GdY4Er2, optimized geometry
data_GdY4Er2
_space_group_name_H-M_alt 'P 4/m m m'
_space_group_IT_number 123
_space_group_name_Hall '-P 4 2'
_cell_length_a 6.9632
_cell_length_b 6.9632
_cell_length_c 5.0207
_cell_angle_alpha 90.00
_cell_angle_beta 90.00
_cell_angle_gamma 90.00
loop_
_atom_site_label
_atom_site_type_symbol
_atom_site_fract_x
_atom_site_fract_y
_atom_site_fract_z
_atom_site_occupancy
Gd1 Gd 0.0000 0.0000 0.0000 1
Y1 Y 0.2445 0.2445 0.5000 1
Er1 Er 0.0000 0.5000 0.0000 1
# - Energy of formation from the pure elements: 0.292 eV/atom
# - Crystal system: tetragonal
# - Calculated total energy: -37.60 eV per cell